1.
The following is a DFT calculation (PBE-GGA) of HfGe3P after structural relaxation.

Structure (extended XYZ):
```
5
Lattice="4.7072 0.0000 0.0000 0.0000 4.7072 0.0000 0.0000 0.0000 4.7072" Properties=species:S:1:pos:R:3 pbc="T T T"
Hf 0.0000 0.0000 0.0000
Ge 0.0000 2.3536 2.3536
Ge 2.3536 0.0000 2.3536
Ge 2.3536 2.3536 0.0000
P 2.3536 2.3536 2.3536
```

magnetic moment	0.00	Bohr magnetons per cell
symmetry	No. 221
formation enthalpy at 0 K	0.653	eV/atom
energy relative to the lowest polymorph listed for this composition	0	meV per atom



2.
The following is a DFT calculation (PBE-GGA) of LiNdCu2 after structural relaxation.

Structure (extended XYZ):
```
4
Lattice="2.1573 1.2455 4.7417 -2.1573 1.2455 4.7417 0.0000 -2.4910 4.7417" Properties=species:S:1:pos:R:3 pbc="T T T"
Li 0.0000 0.0000 0.0000
Nd 0.0000 0.0000 7.1126
Cu 0.0000 0.0000 4.2110
Cu 0.0000 0.0000 10.0142
```

magnetic moment	0.00	Bohr magnetons per cell
symmetry	No. 166
formation enthalpy at 0 K	-0.111	eV/atom
energy relative to the lowest polymorph listed for this composition	0	meV per atom



3.
The following is a DFT calculation (PBE-GGA) of LaPm2CoAg after structural relaxation.

Structure (extended XYZ):
```
5
Lattice="5.3372 0.0000 0.0000 0.0000 5.3372 0.0000 0.0000 0.0000 5.2084" Properties=species:S:1:pos:R:3 pbc="T T T"
La 0.0000 0.0000 0.0000
Pm 0.0000 2.6686 2.5432
Pm 2.6686 0.0000 2.5432
Co 0.0000 0.0000 2.6966
Ag 2.6686 2.6686 0.3442
```

magnetic moment	0.00	Bohr magnetons per cell
symmetry	No. 99
formation enthalpy at 0 K	-0.012	eV/atom



4.
The following is a DFT calculation (PBE-GGA) of Cd3H12Rh5 after structural relaxation.

Structure (extended XYZ):
```
80
Lattice="-5.6609 5.6609 5.6609 5.6609 -5.6609 5.6609 5.6609 5.6609 -5.6609" Properties=species:S:1:pos:R:3 pbc="T T T"
Cd 2.8304 1.4152 0.0000
Cd 5.6609 2.8304 -1.4152
Cd 1.4152 0.0000 2.8304
Cd 7.0761 0.0000 2.8304
Cd 0.0000 2.8304 1.4152
Cd 2.8304 -1.4152 5.6609
Cd 2.8304 7.0761 0.0000
Cd 5.6609 2.8304 4.2457
Cd -1.4152 5.6609 2.8304
Cd 4.2457 5.6609 2.8304
Cd 0.0000 2.8304 7.0761
Cd 2.8304 4.2457 5.6609
H 1.5600 -0.4696 0.6305
H 6.9313 3.4610 -3.3000
H 5.1913 -0.6305 1.5600
H 8.9609 -1.2704 2.1999
H 0.6305 1.5600 -0.4696
H 7.8608 2.3609 -1.2704
H 7.2209 0.4696 0.6305
H 6.9313 -2.1999 3.3000
H 3.4610 3.3000 -1.2704
H 5.0304 1.5600 0.4696
H -0.4696 0.6305 1.5600
H 3.3000 -1.2704 3.4610
H 5.1913 5.0304 -1.5600
H 3.3000 1.2704 2.1999
H 5.0304 -1.5600 5.1913
H 3.4610 -3.3000 6.9313
H 1.5600 5.1913 -0.6305
H 6.9313 2.1999 2.3609
H 2.1999 3.3000 1.2704
H 6.2914 4.1009 0.4696
H 3.3000 6.9313 -2.1999
H 5.1913 0.6305 4.1009
H 1.2704 2.1999 3.3000
H 1.5600 0.4696 5.0304
H 4.1009 5.1913 0.6305
H 4.3904 3.4610 2.3609
H 0.4696 5.0304 1.5600
H 2.3609 -1.2704 7.8608
H -0.6305 1.5600 5.1913
H 3.4610 2.3609 4.3904
H -1.2704 3.4610 3.3000
H 4.1009 0.4696 6.2914
H 2.1999 8.9609 -1.2704
H 0.6305 7.2209 0.4696
H 2.3609 4.3904 3.4610
H 0.4696 0.6305 7.2209
H 2.3609 6.9313 2.1999
H 6.1305 5.0304 4.1009
H 0.6305 4.1009 5.1913
H 2.1999 2.3609 6.9313
H -1.2704 7.8608 2.3609
H -1.5600 5.1913 5.0304
H -2.1999 3.3000 6.9313
H 5.0304 4.1009 6.1305
H -3.3000 6.9313 3.4610
H 0.4696 6.2914 4.1009
H -1.2704 2.1999 8.9609
H 4.1009 6.1305 5.0304
Rh 0.0000 0.0000 0.0000
Rh 2.8304 2.8304 -2.8304
Rh 2.8304 -2.8304 2.8304
Rh 5.6609 0.0000 0.0000
Rh 8.4913 1.4152 0.0000
Rh 5.6609 -2.8304 4.2457
Rh 4.2457 5.6609 -2.8304
Rh 4.2457 0.0000 2.8304
Rh 2.8304 4.2457 0.0000
Rh 5.6609 2.8304 1.4152
Rh -2.8304 2.8304 2.8304
Rh 0.0000 5.6609 0.0000
Rh 0.0000 0.0000 5.6609
Rh 2.8304 2.8304 2.8304
Rh 0.0000 2.8304 4.2457
Rh 2.8304 1.4152 5.6609
Rh 1.4152 5.6609 2.8304
Rh 1.4152 0.0000 8.4913
Rh 0.0000 8.4913 1.4152
Rh -2.8304 4.2457 5.6609
```

final energy	-3.922	eV/atom
magnetic moment	0.00	Bohr magnetons per cell
symmetry	No. 230



5.
The following is a DFT calculation (PBE-GGA) of YTl2Pb after structural relaxation.

Structure (extended XYZ):
```
4
Lattice="0.0000 3.8983 3.8983 3.8983 0.0000 3.8983 3.8983 3.8983 0.0000" Properties=species:S:1:pos:R:3 pbc="T T T"
Y 0.0000 0.0000 0.0000
Tl 3.8983 3.8983 3.8983
Tl 5.8474 5.8474 5.8474
Pb 1.9491 1.9491 1.9491
```

magnetic moment	0.00	Bohr magnetons per cell
symmetry	No. 216
formation enthalpy at 0 K	-0.082	eV/atom



6.
The following is a DFT calculation (PBE-GGA) of CsYMo3 after structural relaxation.

Structure (extended XYZ):
```
5
Lattice="4.9703 0.0000 0.0000 0.0000 4.9703 0.0000 0.0000 0.0000 4.9703" Properties=species:S:1:pos:R:3 pbc="T T T"
Cs 0.0000 0.0000 0.0000
Y 2.4851 2.4851 2.4851
Mo 0.0000 0.0000 2.4851
Mo 0.0000 2.4851 0.0000
Mo 2.4851 0.0000 0.0000
```

magnetic moment	2.45	Bohr magnetons per cell
symmetry	No. 221
formation enthalpy at 0 K	2.601	eV/atom
energy relative to the lowest polymorph listed for this composition	0	meV per atom



7.
The following is a DFT calculation (PBE-GGA) of FeAgSb2 after structural relaxation.

Structure (extended XYZ):
```
4
Lattice="0.0000 3.3766 3.3766 3.3766 0.0000 3.3766 3.3766 3.3766 0.0000" Properties=species:S:1:pos:R:3 pbc="T T T"
Fe 0.0000 0.0000 0.0000
Ag 3.3766 3.3766 3.3766
Sb 1.6883 1.6883 1.6883
Sb 5.0648 5.0648 5.0648
```

magnetic moment	0.00	Bohr magnetons per cell
symmetry	No. 225
energy relative to the lowest polymorph listed for this composition	324	meV per atom



8.
The following is a DFT calculation (PBE-GGA) of TaAsPbO5 after structural relaxation.

Structure (extended XYZ):
```
16
Lattice="3.7910 -4.7693 0.0000 3.7910 4.7693 0.0000 -3.3914 0.0000 6.9071" Properties=species:S:1:pos:R:3 pbc="T T T"
Ta 1.8955 2.3846 0.0000
Ta 0.1998 -2.3846 3.4535
As 1.2475 4.2314 5.1803
As 2.9431 -4.2314 1.7268
Pb 1.2475 0.5668 5.1803
Pb 2.9431 -0.5668 1.7268
O 0.2180 2.9781 5.9932
O -1.0290 0.4891 6.4915
O 2.9431 2.2023 1.7268
O 2.2769 2.9781 4.3674
O 0.6667 -0.4891 3.0379
O 3.5239 0.4891 3.8692
O 1.9137 -2.9781 2.5397
O 1.2475 -2.2023 5.1803
O 5.2196 -0.4891 0.4156
O 3.9726 -2.9781 0.9139
```

final energy	-7.454	eV/atom
magnetic moment	0.00	Bohr magnetons per cell
symmetry	No. 15



9.
The following is a DFT calculation (PBE-GGA) of KCaTe3 after structural relaxation.

Structure (extended XYZ):
```
5
Lattice="5.9563 0.0000 0.0000 0.0000 5.9563 0.0000 0.0000 0.0000 5.9563" Properties=species:S:1:pos:R:3 pbc="T T T"
K 0.0000 0.0000 0.0000
Ca 2.9781 2.9781 2.9781
Te 0.0000 2.9781 2.9781
Te 2.9781 0.0000 2.9781
Te 2.9781 2.9781 0.0000
```

magnetic moment	0.00	Bohr magnetons per cell
symmetry	No. 221
energy relative to the lowest polymorph listed for this composition	0	meV per atom



10.
The following is a DFT calculation (PBE-GGA) of CaGdTmIn after structural relaxation.

Structure (extended XYZ):
```
4
Lattice="0.0000 3.8794 3.8794 3.8794 0.0000 3.8794 3.8794 3.8794 0.0000" Properties=species:S:1:pos:R:3 pbc="T T T"
Ca 0.0000 0.0000 0.0000
Gd 1.9397 1.9397 1.9397
Tm 5.8192 5.8192 5.8192
In 3.8794 3.8794 3.8794
```

magnetic moment	7.49	Bohr magnetons per cell
symmetry	No. 216
formation enthalpy at 0 K	-0.127	eV/atom



11.
The following is a DFT calculation (PBE-GGA) of Nd6CdHg2 after structural relaxation.

Structure (extended XYZ):
```
18
Lattice="-5.0975 5.2466 5.3265 5.0975 -5.2466 5.3265 5.0975 5.2466 -5.3265" Properties=species:S:1:pos:R:3 pbc="T T T"
Nd 5.0975 -2.8919 3.4707
Nd 3.0875 0.0000 2.6885
Nd 7.1075 0.0000 2.6885
Nd 3.2785 2.8256 0.0000
Nd 6.9164 2.8256 0.0000
Nd 0.0000 2.3547 1.8558
Nd 5.0975 2.8919 3.4707
Nd -1.8190 2.4210 5.3265
Nd 1.8190 2.4210 5.3265
Nd -2.0100 5.2466 2.6380
Nd 2.0100 5.2466 2.6380
Nd 0.0000 8.1385 1.8558
Cd 5.0975 0.0000 0.0000
Cd 0.0000 5.2466 0.0000
Hg 1.5151 0.0000 0.0000
Hg 8.6799 0.0000 0.0000
Hg 0.0000 0.0000 3.8678
Hg 0.0000 0.0000 6.7853
```

magnetic moment	0.00	Bohr magnetons per cell
symmetry	No. 71
formation enthalpy at 0 K	-0.223	eV/atom



12.
The following is a DFT calculation (PBE-GGA) of TlZnGa2 after structural relaxation.

Structure (extended XYZ):
```
4
Lattice="0.0000 3.5146 3.5146 3.5146 0.0000 3.5146 3.5146 3.5146 0.0000" Properties=species:S:1:pos:R:3 pbc="T T T"
Tl 0.0000 0.0000 0.0000
Zn 3.5146 3.5146 3.5146
Ga 1.7573 1.7573 1.7573
Ga 5.2719 5.2719 5.2719
```

magnetic moment	0.00	Bohr magnetons per cell
symmetry	No. 225
formation enthalpy at 0 K	0.168	eV/atom
energy relative to the lowest polymorph listed for this composition	111	meV per atom



The records above yield Fermi-level density of states values of 1.00 0.59 1.07 0.21 0.80 1.07 0.86 0.00 1.51 1.28 1.31 0.53 states/eV per atom, respectively.